Material: VAuNO2
Method: DFT, GGA+U
State: optimized geometry

Cell and atoms, written as extended XYZ:
```
5
Lattice="3.6622 0.0000 0.0000 0.0000 3.6622 0.0000 0.0000 0.0000 4.2925" Properties=species:S:1:pos:R:3 pbc="T T T"
N 0.0000 0.0000 2.1463
Au 1.8311 1.8311 2.1463
O 0.0000 1.8311 0.0000
O 1.8311 0.0000 0.0000
V 0.0000 0.0000 0.0000
```

Results
Its symmetry is P4/mmm. The calculation puts the volume at 11.514 Å³/atom. As for the raw total energy: -29.42 eV for the cell shown. The value obtained for the total magnetic moment is 0.0000 μB per atom.

=====

Material: VAuNO2
Method: DFT, GGA+U
State: optimized geometry

Cell and atoms, written as extended XYZ:
```
5
Lattice="4.1200 0.0000 0.0000 0.0000 4.1200 0.0000 0.0000 0.0000 3.9390" Properties=species:S:1:pos:R:3 pbc="T T T"
N 0.0000 0.0000 1.9695
Au 0.0000 0.0000 0.0000
O 0.0000 2.0600 0.0000
O 2.0600 0.0000 0.0000
V 2.0600 2.0600 1.9695
```

Results
Its symmetry is P4/mmm. The calculation puts the volume at 13.373 Å³/atom. As for the raw total energy: -23.12 eV for the cell shown. The value obtained for the total magnetic moment is 0.1293 μB per atom.

=====

Material: WAuN2O
Method: DFT, GGA+U
State: optimized geometry

Cell and atoms, written as extended XYZ:
```
5
Lattice="-3.5854 -0.8826 1.6840 0.0993 -3.6766 -1.7155 1.8116 -1.4067 3.1197" Properties=species:S:1:pos:R:3 pbc="T T T"
Au -0.8373 -2.9829 1.5441
O 0.9058 -0.7033 1.5599
W 0.0000 0.0000 0.0000
N 0.0497 -1.8383 -0.8577
N -1.7927 -0.4413 0.8420
```

Results
Its symmetry is P4/mmm. The calculation puts the volume at 12.755 Å³/atom. As for the raw total energy: -30.46 eV for the cell shown. The value obtained for the total magnetic moment is 0.0000 μB per atom.

=====

Material: WAuN2O
Method: DFT, GGA+U
State: optimized geometry

Cell and atoms, written as extended XYZ:
```
5
Lattice="-0.5013 -0.2956 4.0580 3.9672 -0.9433 0.4214 0.8667 3.8172 0.3851" Properties=species:S:1:pos:R:3 pbc="T T T"
Au 0.0000 0.0000 0.0000
O 0.4333 1.9086 0.1926
W 2.1663 1.2892 2.4322
N 1.9836 -0.4716 0.2107
N -0.2506 -0.1478 2.0290
```

Results
Its symmetry is P4/mmm. The calculation puts the volume at 13.221 Å³/atom. As for the raw total energy: -23.38 eV for the cell shown. The value obtained for the total magnetic moment is 0.4184 μB per atom.

=====

Repeat the third record exactly.
Material: WAuN2O
Method: DFT, GGA+U
State: optimized geometry

Cell and atoms, written as extended XYZ:
```
5
Lattice="-3.5854 -0.8826 1.6840 0.0993 -3.6766 -1.7155 1.8116 -1.4067 3.1197" Properties=species:S:1:pos:R:3 pbc="T T T"
Au -0.8373 -2.9829 1.5441
O 0.9058 -0.7033 1.5599
W 0.0000 0.0000 0.0000
N 0.0497 -1.8383 -0.8577
N -1.7927 -0.4413 0.8420
```

Results
Its symmetry is P4/mmm. The calculation puts the volume at 12.755 Å³/atom. As for the raw total energy: -30.46 eV for the cell shown. The value obtained for the total magnetic moment is 0.0000 μB per atom.